#1
LuCuSnSe3: relaxed, PBE.

Unit cell a=10.421 b=3.999 c=13.419 alpha=90.00 beta=90.00 gamma=90.00
Space group Pnma (No. 62)
Asymmetric unit:
Lu 0.021 0.250 0.241
Cu 0.237 0.250 0.721
Sn 0.218 0.750 0.504
Se 0.042 0.250 0.615
Se 0.085 0.750 0.104
Se 0.234 0.750 0.833


#2
LuCuSnSe3: relaxed, PBE.

Unit cell a=17.950 b=3.993 c=8.190 alpha=90.00 beta=102.95 gamma=90.00
Space group C2/m (No. 12)
Asymmetric unit:
Lu 0.162 0.000 0.083
Cu 0.039 0.500 0.208
Sn 0.126 0.000 0.568
Se 0.000 0.000 0.000
Se 0.000 0.500 0.500
Se 0.176 0.500 0.852
Se 0.177 0.500 0.325


Stability ranking, top entry: #1; the second entry is 55 meV/atom less favorable.


#1
K5As2Au2: relaxed, PBE.

Unit cell a=11.312 b=5.303 c=11.206 alpha=90.00 beta=113.07 gamma=90.00
Space group C2/m (No. 12)
Asymmetric unit:
K 0.000 0.000 0.000
K 0.111 0.000 0.415
K 0.249 0.000 0.817
As 0.090 0.500 0.613
Au 0.059 0.500 0.831


#2
K5As2Au2: relaxed, PBE.

Unit cell a=10.754 b=5.439 c=11.800 alpha=90.00 beta=114.12 gamma=90.00
Space group C2/m (No. 12)
Asymmetric unit:
K 0.000 0.000 0.000
K 0.127 0.000 0.377
K 0.249 0.500 0.161
As 0.064 0.500 0.835
Au 0.052 0.500 0.623


Stability ranking, top entry: #2; the second entry is 44 meV/atom less favorable.


#1
SrGdNO: relaxed, PBE.

Unit cell a=5.008 b=5.008 c=5.132 alpha=90.00 beta=90.00 gamma=90.00
Space group P4/nmm (No. 129, origin choice 2)
Asymmetric unit:
Sr 0.250 0.250 0.001
Gd 0.250 0.750 0.500
N 0.250 0.250 0.502
O 0.250 0.750 0.000


#2
SrGdNO: relaxed, PBE.

Unit cell a=4.183 b=7.201 c=5.048 alpha=90.00 beta=90.00 gamma=90.00
Space group Pmc2_1 (No. 26)
Asymmetric unit:
Sr 0.000 0.168 0.000
Gd 0.500 0.342 0.504
N 0.500 0.351 0.989
O 0.000 0.193 0.497


Stability ranking, top entry: #1; the second entry is 24 meV/atom less favorable.


#1
GdHfAsO: relaxed, PBE.

Unit cell a=3.998 b=7.420 c=5.848 alpha=90.00 beta=90.00 gamma=90.00
Space group Pmc2_1 (No. 26)
Asymmetric unit:
Gd 0.000 0.224 0.000
Hf 0.500 0.394 0.549
As 0.000 0.164 0.496
O 0.500 0.350 0.902


#2
GdHfAsO: relaxed, PBE.

Unit cell a=4.072 b=4.072 c=8.506 alpha=90.00 beta=90.00 gamma=90.00
Space group P4/nmm (No. 129, origin choice 2)
Asymmetric unit:
Gd 0.250 0.750 0.000
Hf 0.250 0.250 0.393
As 0.250 0.250 0.755
O 0.250 0.750 0.500


Stability ranking, top entry: #1; the second entry is 308 meV/atom less favorable.